The following is a DFT calculation (GGA+U) of an optimized crystal structure of PrPuNiO6.

As for the total energy: -8.066 eV/atom.

The space group is P-31c (No. 163) and the conventional cell measures 5.3239, 5.3239 and 10.4882 Å, with angles of 90.00, 90.00 and 120.00 degrees. The asymmetric unit holds Pr at (0.0000, 0.0000, 0.0000), Pu at (0.3333, 0.6667, 0.2500), Ni at (0.3333, 0.6667, 0.7500) and O at (0.0106, 0.3630, 0.1420).